(1)
The following is a PBE calculation of a relaxed structure of NaSI2, from the Alexandria database.

The value obtained for the uncorrected formation energy is 90 meV/atom. The calculation puts the offset from the most stable computed form at 1.23 eV/f.u. The magnetic moment is 3.000 μB/f.u. Its total energy is -8.19 eV per cell. Its space group is Fm-3m, No. 225.

Cell lengths 5.653, 5.653, 5.653 Å; angles 60.00, 60.00, 60.00 degrees
Positions (direct):
1 I 0.250 0.250 0.250
2 I 0.750 0.750 0.750
3 Na 0.000 0.000 0.000
4 S 0.500 0.500 0.500

=====

(2)
The following is a PBE calculation of a relaxed structure of NaS3I, from the Alexandria database.

The value obtained for the uncorrected formation energy is 351 meV/atom. The calculation puts the offset from the most stable computed form at 0.00 eV/f.u. The magnetic moment is 0.000 μB/f.u. Its total energy is -13.50 eV per cell. Its space group is Pm-3m, No. 221.

Cell lengths 5.155, 5.155, 5.155 Å; angles 90.00, 90.00, 90.00 degrees
Positions (direct):
1 I 0.000 0.000 0.000
2 Na 0.500 0.500 0.500
3 S 0.000 0.500 0.000
4 S 0.000 0.000 0.500
5 S 0.500 0.000 0.000

=====

(3)
The following is a PBE calculation of a relaxed structure of Na4SI2, from the Alexandria database.

The value obtained for the uncorrected formation energy is -1106 meV/atom. The calculation puts the offset from the most stable computed form at 0.21 eV/f.u. The magnetic moment is 0.000 μB/f.u. Its total energy is -20.25 eV per cell. Its space group is Cmmm, No. 65.

Cell lengths 4.417, 8.141, 8.141 Å; angles 124.79, 90.00, 90.00 degrees
Positions (direct):
1 Na 0.500 0.275 0.275
2 Na 0.000 0.685 0.315
3 Na 0.500 0.725 0.725
4 Na 0.000 0.315 0.685
5 S 0.000 0.500 0.500
6 I 0.500 0.167 0.833
7 I 0.500 0.833 0.167

=====

(4)
The following is a PBE calculation of a relaxed structure of Na3SI, from the Alexandria database.

The value obtained for the uncorrected formation energy is -1118 meV/atom. The calculation puts the offset from the most stable computed form at 0.00 eV/f.u. The magnetic moment is 0.000 μB/f.u. Its total energy is -60.89 eV per cell. Its space group is Pnma, No. 62.

Cell lengths 7.495, 7.483, 10.556 Å; angles 90.00, 90.00, 90.00 degrees
Positions (direct):
1 Na 0.783 0.217 0.041
2 Na 0.717 0.717 0.541
3 Na 0.717 0.717 0.959
4 Na 0.217 0.783 0.541
5 Na 0.217 0.783 0.959
6 Na 0.283 0.283 0.459
7 Na 0.283 0.283 0.041
8 Na 0.783 0.217 0.459
9 Na 0.525 0.076 0.750
10 Na 0.975 0.576 0.250
11 Na 0.475 0.924 0.250
12 Na 0.025 0.424 0.750
13 S 0.000 0.500 0.000
14 S 0.500 0.000 0.500
15 S 0.500 0.000 0.000
16 S 0.000 0.500 0.500
17 I 0.473 0.507 0.750
18 I 0.027 0.007 0.250
19 I 0.527 0.493 0.250
20 I 0.973 0.993 0.750

=====

(5)
The following is a PBE calculation of a relaxed structure of Na2S4I, from the Alexandria database.

The value obtained for the uncorrected formation energy is 122 meV/atom. The magnetic moment is 1.366 μB/f.u. Its total energy is -19.84 eV per cell. Its space group is I4/mmm, No. 139.

Cell lengths 5.198, 5.198, 7.965 Å; angles 70.96, 70.96, 90.00 degrees
Positions (direct):
1 I 0.000 0.000 0.000
2 Na 0.377 0.377 0.246
3 Na 0.623 0.623 0.754
4 S 0.179 0.179 0.642
5 S 0.821 0.821 0.358
6 S 0.000 0.500 0.000
7 S 0.500 0.000 0.000

=====

(6)
The following is a PBE calculation of a relaxed structure of Na3SI, from the Alexandria database.

The value obtained for the uncorrected formation energy is -959 meV/atom. The calculation puts the offset from the most stable computed form at 0.79 eV/f.u. The magnetic moment is 0.093 μB/f.u. Its total energy is -14.43 eV per cell. Its space group is I4mm, No. 107.

Cell lengths 5.201, 5.201, 8.935 Å; angles 106.92, 106.92, 90.00 degrees
Positions (direct):
1 Na 0.174 0.674 0.348
2 Na 0.674 0.174 0.348
3 Na 0.524 0.524 0.049
4 S 0.689 0.689 0.378
5 I 0.029 0.029 0.059

=====

(7)
The following is a PBE calculation of a relaxed structure of NaSI2, from the Alexandria database.

The value obtained for the uncorrected formation energy is -217 meV/atom. The calculation puts the offset from the most stable computed form at 0.00 eV/f.u. The magnetic moment is 1.013 μB/f.u. Its total energy is -9.41 eV per cell. Its space group is R-3m, No. 166.

Cell lengths 4.761, 4.761, 9.041 Å; angles 74.73, 74.73, 60.00 degrees
Positions (direct):
1 I 0.101 0.101 0.696
2 I 0.899 0.899 0.304
3 Na 0.500 0.500 0.500
4 S 0.000 0.000 0.000

=====

(8)
The following is a PBE calculation of a relaxed structure of Na3SI, from the Alexandria database.

The value obtained for the uncorrected formation energy is -1105 meV/atom. The calculation puts the offset from the most stable computed form at 0.06 eV/f.u. The magnetic moment is 0.000 μB/f.u. Its total energy is -15.16 eV per cell. Its space group is Pm-3m, No. 221.

Cell lengths 5.319, 5.319, 5.319 Å; angles 90.00, 90.00, 90.00 degrees
Positions (direct):
1 I 0.500 0.500 0.500
2 Na 0.000 0.500 0.000
3 Na 0.000 0.000 0.500
4 Na 0.500 0.000 0.000
5 S 0.000 0.000 0.000